Y4Lu4B3 after structural relaxation. Source: OQMD via LeMat-Bulk, functional PBE-GGA.

Lattice parameters (Å, degrees): 3.785 4.354 15.857 93.88 92.12 93.63
Element x y z (fractional)
Y  0.013  0.274  0.427
Y  0.461  0.716  0.076
Y  0.539  0.284  0.924
Y  0.987  0.726  0.573
Lu  0.026  0.766  0.796
Lu  0.484  0.783  0.330
Lu  0.516  0.217  0.670
Lu  0.974  0.234  0.204
B  0.016  0.132  0.039
B  0.500  0.000  0.500
B  0.984  0.868  0.961

Total magnetic moment: 0.007 Bohr magnetons per cell
Space group: P-1 (2)
Total energy: -5.73 eV/atom

***

YLuB after structural relaxation. Source: OQMD via LeMat-Bulk, functional PBE-GGA.

Lattice parameters (Å, degrees): 4.488 4.488 4.488 60.00 60.00 60.00
Element x y z (fractional)
Y  0.000  0.000  0.000
Lu  0.500  0.500  0.500
B  0.750  0.750  0.750

Total magnetic moment: 0.001 Bohr magnetons per cell
Space group: F-43m (216)
Relative energy among the computed polymorphs: 0.0 meV/atom

***

YLu2B after structural relaxation. Source: OQMD via LeMat-Bulk, functional PBE-GGA.

Lattice parameters (Å, degrees): 4.998 4.998 4.998 60.00 60.00 60.00
Element x y z (fractional)
Y  0.000  0.000  0.000
Lu  0.250  0.250  0.250
Lu  0.500  0.500  0.500
B  0.750  0.750  0.750

Total magnetic moment: 0.743 Bohr magnetons per cell
Space group: F-43m (216)
Total energy: -4.86 eV/atom

***

Lu3ZnB2 after structural relaxation. Source: OQMD via LeMat-Bulk, functional PBE-GGA.

Lattice parameters (Å, degrees): 3.526 3.526 21.909 90.00 90.00 120.00
Element x y z (fractional)
Lu  0.000  0.000  0.000
Lu  0.000  0.000  0.500
Lu  0.333  0.667  0.142
Lu  0.333  0.667  0.358
Lu  0.667  0.333  0.642
Lu  0.667  0.333  0.858
Zn  0.000  0.000  0.250
Zn  0.000  0.000  0.750
B  0.333  0.667  0.576
B  0.333  0.667  0.924
B  0.667  0.333  0.076
B  0.667  0.333  0.424

Total magnetic moment: 0.173 Bohr magnetons per cell
Space group: P6_3/mmc (194)
Total energy: -4.65 eV/atom

***

Lu2ZnB after structural relaxation. Source: OQMD via LeMat-Bulk, functional PBE-GGA.

Lattice parameters (Å, degrees): 3.501 3.501 15.626 90.00 90.00 120.00
Element x y z (fractional)
Lu  0.333  0.667  0.099
Lu  0.333  0.667  0.401
Lu  0.667  0.333  0.599
Lu  0.667  0.333  0.901
Zn  0.333  0.667  0.750
Zn  0.667  0.333  0.250
B  0.000  0.000  0.000
B  0.000  0.000  0.500

Total magnetic moment: 0.530 Bohr magnetons per cell
Space group: P6_3/mmc (194)
Relative energy among the computed polymorphs: 0.0 meV/atom

***

LuZnB after structural relaxation. Source: OQMD via LeMat-Bulk, functional PBE-GGA.

Lattice parameters (Å, degrees): 4.074 4.074 4.074 60.00 60.00 60.00
Element x y z (fractional)
Lu  0.000  0.000  0.000
Zn  0.500  0.500  0.500
B  0.250  0.250  0.250

Total magnetic moment: 0.001 Bohr magnetons per cell
Space group: F-43m (216)
Relative energy among the computed polymorphs: 0.0 meV/atom

***

Lu2ZnB after structural relaxation. Source: OQMD via LeMat-Bulk, functional PBE-GGA.

Lattice parameters (Å, degrees): 4.758 4.758 4.758 60.00 60.00 60.00
Element x y z (fractional)
Lu  0.000  0.000  0.000
Lu  0.250  0.250  0.250
Zn  0.750  0.750  0.750
B  0.500  0.500  0.500

Total magnetic moment: 0.002 Bohr magnetons per cell
Space group: F-43m (216)
Relative energy among the computed polymorphs: 806.4 meV/atom

***

LuZnB after structural relaxation. Source: OQMD via LeMat-Bulk, functional PBE-GGA.

Lattice parameters (Å, degrees): 4.309 4.309 4.309 60.00 60.00 60.00
Element x y z (fractional)
Lu  0.000  0.000  0.000
Zn  0.250  0.250  0.250
B  0.750  0.750  0.750

Total magnetic moment: 0.000 Bohr magnetons per cell
Space group: F-43m (216)
Relative energy among the computed polymorphs: 969.5 meV/atom

***

LuZr2B after structural relaxation. Source: OQMD via LeMat-Bulk, functional PBE-GGA.

Lattice parameters (Å, degrees): 4.752 4.752 4.752 60.00 60.00 60.00
Element x y z (fractional)
Lu  0.000  0.000  0.000
Zr  0.250  0.250  0.250
Zr  0.500  0.500  0.500
B  0.750  0.750  0.750

Total magnetic moment: 0.012 Bohr magnetons per cell
Space group: F-43m (216)
Total energy: -6.47 eV/atom

***

Lu2ZrB after structural relaxation. Source: OQMD via LeMat-Bulk, functional PBE-GGA.

Lattice parameters (Å, degrees): 4.818 4.818 4.818 60.00 60.00 60.00
Element x y z (fractional)
Lu  0.000  0.000  0.000
Lu  0.250  0.250  0.250
Zr  0.750  0.750  0.750
B  0.500  0.500  0.500

Total magnetic moment: 0.116 Bohr magnetons per cell
Space group: F-43m (216)
Total energy: -5.40 eV/atom

***

MgBMo after structural relaxation. Source: OQMD via LeMat-Bulk, functional PBE-GGA.

Lattice parameters (Å, degrees): 3.859 3.859 3.859 60.00 60.00 60.00
Element x y z (fractional)
Mg  0.000  0.000  0.000
B  0.250  0.250  0.250
Mo  0.500  0.500  0.500

Total magnetic moment: 0.998 Bohr magnetons per cell
Space group: F-43m (216)
Relative energy among the computed polymorphs: 160.4 meV/atom

***

MgBMo after structural relaxation. Source: OQMD via LeMat-Bulk, functional PBE-GGA.

Lattice parameters (Å, degrees): 6.156 6.156 3.361 90.00 90.00 120.00
Element x y z (fractional)
Mg  0.000  0.259  0.000
Mg  0.259  0.000  0.000
Mg  0.741  0.741  0.000
B  0.000  0.000  0.500
B  0.333  0.667  0.000
B  0.667  0.333  0.000
Mo  0.000  0.598  0.500
Mo  0.402  0.402  0.500
Mo  0.598  0.000  0.500

Total magnetic moment: 0.037 Bohr magnetons per cell
Space group: P-62m (189)
Relative energy among the computed polymorphs: 0.0 meV/atom